<A>
Entry from Alexandria: crystalline NaFeN at its relaxed geometry (PBE-GGA).

Computed properties:
SG	Cmmm (65)
volume	89.6	Å³/cell
size of the total moment	3.11	Bohr magnetons per cell

```
6
Lattice="3.325 -3.890 0.000 3.325 3.890 0.000 0.000 0.000 3.464" Properties=species:S:1:pos:R:3 pbc="T T T"
Na 3.325 2.226 0.000
Na 3.325 -2.226 0.000
Fe 2.185 0.000 1.732
Fe 4.465 0.000 1.732
N 1.922 0.000 0.000
N 4.728 0.000 0.000
```

=====

<B>
Entry from Alexandria: crystalline NaFeN at its relaxed geometry (PBE-GGA).

Computed properties:
SG	C2/m (12)
volume	90.1	Å³/cell
size of the total moment	0.27	Bohr magnetons per cell

```
6
Lattice="5.714 -1.763 0.000 5.714 1.763 0.000 -2.133 0.000 4.472" Properties=species:S:1:pos:R:3 pbc="T T T"
Na 0.382 0.000 1.550
Na 8.914 0.000 2.923
Fe 3.555 0.000 0.344
Fe 5.741 0.000 4.129
N -0.251 0.000 3.993
N 9.547 0.000 0.480
```

=====

<C>
Entry from Alexandria: crystalline NaFeN at its relaxed geometry (PBE-GGA).

Computed properties:
SG	Amm2 (38)
volume	44.0	Å³/cell
size of the total moment	1.02	Bohr magnetons per cell

```
3
Lattice="3.473 0.000 0.000 0.000 1.397 4.539 0.000 -1.397 4.539" Properties=species:S:1:pos:R:3 pbc="T T T"
Na 0.000 0.000 0.000
Fe 1.736 0.000 2.443
N 0.000 0.000 2.458
```

=====

It turns out <B> is the most stable, with the second structure 176 meV per atom higher.

=====

<A>
Entry from Alexandria: crystalline NaFeN at its relaxed geometry (PBE-GGA).

Computed properties:
SG	P6_3mc (186)
volume	77.4	Å³/cell
size of the total moment	0.00	Bohr magnetons per cell

```
6
Lattice="3.009 0.000 0.000 -1.504 2.606 0.000 0.000 0.000 9.871" Properties=species:S:1:pos:R:3 pbc="T T T"
Na 0.000 1.737 0.000
Na 1.504 0.869 4.935
Fe 0.000 0.000 2.532
Fe 0.000 0.000 7.468
N 0.000 1.737 2.992
N 1.504 0.869 7.927
```

=====

<B>
Entry from Alexandria: crystalline NaFeN at its relaxed geometry (PBE-GGA).

Computed properties:
SG	P2_1/c (14)
volume	177.3	Å³/cell
size of the total moment	0.00	Bohr magnetons per cell

```
12
Lattice="5.736 0.000 0.000 0.000 6.172 0.000 -2.074 0.000 5.009" Properties=species:S:1:pos:R:3 pbc="T T T"
Na 0.267 0.526 1.590
Na -0.770 2.560 4.095
Na 4.432 3.612 0.914
Na 3.395 5.646 3.419
Fe 1.668 3.981 1.780
Fe 0.632 5.277 4.285
Fe 3.030 0.895 0.724
Fe 1.994 2.191 3.229
N 1.342 3.848 3.548
N 2.379 5.410 1.044
N 1.283 0.762 3.966
N 2.320 2.324 1.461
```

=====

It turns out <B> is the most stable, with the second structure 30 meV per atom higher.